A plane-wave DFT calculation with PBEsol was carried out for a geometry-optimized LuSeO3F structure.

Summary:
DOS(E_F) ... 0.00 states/eV per cell
Calculated total energy ... -6.86 eV/atom
Space group ... P2_1/m
ΔE_f (raw) ... -2457 meV per atom
Energy above the most stable polymorph in this dataset ... 0.0 kJ per mole of atoms

Lattice parameters (Å, degrees): 4.238 6.434 6.836 90.00 90.00 96.28
Atoms (fractional coordinates):
1 Lu 0.461 0.374 0.750
2 Lu 0.539 0.626 0.250
3 Se 0.319 0.141 0.250
4 Se 0.681 0.859 0.750
5 O 0.404 0.029 0.750
6 O 0.596 0.971 0.250
7 O 0.450 0.321 0.429
8 O 0.550 0.679 0.929
9 O 0.550 0.679 0.571
10 O 0.450 0.321 0.071
11 F 0.961 0.362 0.750
12 F 0.039 0.638 0.250